Below is crystalline Cs4MnS4 at its relaxed geometry, with properties calculated at the PBE level.

a = 8.050 Å, b = 8.050 Å, c = 14.007 Å
α = 90.00°, β = 90.00°, γ = 90.00°
Space group I-42m (No. 121)
Symmetry-distinct sites (fractional):
Cs  0.000  0.000  0.204 (multiplicity 4)
Cs  0.000  0.500  0.000 (multiplicity 4)
Mn  0.000  0.000  0.500 (multiplicity 2)
S  0.151  0.151  0.599 (multiplicity 8)

Values from the calculation:
E_tot (eV per atom): -4.1183
Formation energy (no corrections) (meV per atom): -885.6
Theoretical density (g/cm3): 2.62
Relative energy among the computed polymorphs (meV/atom): 91